[1]
Below is a relaxed BaTe2 crystal, with properties calculated at the PBE-GGA level.

Computed properties:
Raw total energy   -3.9265 eV per atom
Calculated volume   239.2 Å³/cell
Space-group type   No. 140

a = 6.8595 Å, b = 6.8595 Å, c = 6.8595 Å
α = 116.35°, β = 116.35°, γ = 96.45°
Closest atoms and distances in Å follow each position.
Fractional coordinates of all 6 atoms:
Ba: 0.2500 0.2500 0.0000  8 Te 3.62
Ba: 0.7500 0.7500 0.0000  8 Te 3.62
Te: 0.6381 0.8619 0.5000  1 Te 2.83
Te: 0.3619 0.1381 0.5000  1 Te 2.83
Te: 0.8619 0.3619 0.2239  1 Te 2.83
Te: 0.1381 0.6381 0.7761  1 Te 2.83



[2]
Below is a relaxed Ba2Te crystal, with properties calculated at the PBE-GGA level.

Computed properties:
Raw total energy   -3.3265 eV per atom
DOS(E_F)   0.891 states/eV/atom
Calculated volume   297.2 Å³/cell
Space-group type   No. 141

a = 16.4111 Å, b = 16.4111 Å, c = 16.4111 Å
α = 164.97°, β = 164.97°, γ = 21.32°
Closest atoms and distances in Å follow each position.
Fractional coordinates of all 6 atoms:
Ba: 0.5619 0.5619 0.0000  4 Te 3.63, 1 Ba 3.99
Ba: 0.3119 0.8119 0.5000  4 Te 3.63, 1 Ba 3.99
Ba: 0.4381 0.4381 0.0000  4 Te 3.63, 1 Ba 3.99
Ba: 0.1881 0.6881 0.5000  4 Te 3.63, 1 Ba 3.99
Te: 0.0000 0.0000 0.0000  8 Ba 3.63
Te: 0.7500 0.2500 0.5000  8 Ba 3.63



[3]
Below is a relaxed Ba3Te2 crystal, with properties calculated at the PBE-GGA level.

Computed properties:
Raw total energy   -3.7663 eV per atom
DOS(E_F)   0.605 states/eV/atom
Calculated volume   256.6 Å³/cell
Space-group type   No. 166

a = 12.6550 Å, b = 12.6550 Å, c = 12.6550 Å
α = 22.33°, β = 22.33°, γ = 22.33°
Closest atoms and distances in Å follow each position.
Fractional coordinates of all 5 atoms:
Ba: 0.2219 0.2219 0.2219  3 Te 3.48
Ba: 0.7781 0.7781 0.7781  3 Te 3.48
Ba: 0.0000 0.0000 0.0000  6 Te 3.52
Te: 0.6100 0.6100 0.6100  6 Ba 3.48-3.52
Te: 0.3900 0.3900 0.3900  6 Ba 3.48-3.52



Which of these has the highest raw total energy?
Ba2Te



Among the records above, which one has the highest raw total energy?
Ba2Te



Which of these has the highest calculated volume?
Ba2Te



Repeat the first record exactly.
Below is a relaxed BaTe2 crystal, with properties calculated at the PBE-GGA level.

Computed properties:
Raw total energy   -3.9265 eV per atom
Calculated volume   239.2 Å³/cell
Space-group type   No. 140

a = 6.8595 Å, b = 6.8595 Å, c = 6.8595 Å
α = 116.35°, β = 116.35°, γ = 96.45°
Closest atoms and distances in Å follow each position.
Fractional coordinates of all 6 atoms:
Ba: 0.2500 0.2500 0.0000  8 Te 3.62
Ba: 0.7500 0.7500 0.0000  8 Te 3.62
Te: 0.6381 0.8619 0.5000  1 Te 2.83
Te: 0.3619 0.1381 0.5000  1 Te 2.83
Te: 0.8619 0.3619 0.2239  1 Te 2.83
Te: 0.1381 0.6381 0.7761  1 Te 2.83